[1]
Material: LaPm2Pt
Method: DFT, GGA-PBE
State: relaxed

```
LaPm2Pt
1.0
-1.0453 -3.9135 -0.1003
2.1088 -2.6024 -2.2800
6.0678 -3.8836 6.4446
Pm Pt La
2 1 1
direct
0.0588 0.0588 0.8236
0.2737 0.2737 0.1790
0.6657 0.6657 0.0028
0.5018 0.5018 0.4946
```

Computed properties:
Energy relative to the elements = -0.4858 eV/atom
Total moment = 0.00 μB/f.u.
Symmetry = No. 160
Offset from the most stable computed form = 159 meV per atom



[2]
Material: La3Pm2Pt2
Method: DFT, GGA-PBE
State: relaxed

```
La3Pm2Pt2
1.0
3.8530 0.0003 -0.8655
-2.3594 6.0069 -1.5083
-0.0031 0.3701 9.0233
La Pm Pt
3 2 2
direct
0.5000 0.0000 0.0000
0.1783 0.7924 0.5663
0.8217 0.2076 0.4337
0.3529 0.5216 0.1855
0.6471 0.4784 0.8145
0.0647 0.8944 0.2346
0.9353 0.1056 0.7654
```

Computed properties:
Energy relative to the elements = -0.6980 eV/atom
Total moment = 0.00 μB/f.u.
Symmetry = No. 2



[3]
Material: LaPmPt2
Method: DFT, GGA-PBE
State: relaxed

```
LaPmPt2
1.0
-2.4166 0.6552 3.3110
-1.6167 -3.2212 2.0597
4.4251 -1.0356 6.0370
Pt Pm La
2 1 1
direct
0.0826 0.0826 0.7522
0.2505 0.2505 0.2484
0.6696 0.6696 0.9912
0.4972 0.4972 0.5083
```

Computed properties:
Energy relative to the elements = -1.0437 eV/atom
Total moment = 0.00 μB/f.u.
Symmetry = No. 160
Offset from the most stable computed form = 145 meV per atom



[4]
Material: La2Pm3Pt4
Method: DFT, GGA-PBE
State: relaxed

```
La2Pm3Pt4
1.0
-6.9291 -2.9290 1.5414
1.5313 -6.1714 -4.8433
6.5228 -2.5618 5.3265
Pm La Pt
6 4 8
direct
0.0000 0.0000 0.0000
0.4562 0.2500 0.4123
0.9562 0.2500 0.4123
0.5438 0.7500 0.5877
0.0438 0.7500 0.5877
0.5000 0.5000 0.0000
0.6019 0.8985 0.2039
0.3981 0.1015 0.7961
0.8981 0.3985 0.7961
0.1019 0.6015 0.2039
0.7249 0.7500 0.9497
0.1984 0.9485 0.3968
0.8016 0.0515 0.6032
0.2249 0.7500 0.9497
0.7751 0.2500 0.0503
0.3016 0.4485 0.6032
0.6984 0.5515 0.3968
0.2751 0.2500 0.0503
```

Computed properties:
Energy relative to the elements = -0.9465 eV/atom
Total moment = 0.00 μB/f.u.
Symmetry = No. 64
Offset from the most stable computed form = 129 meV per atom



[5]
Material: La3PmPt8
Method: DFT, GGA-PBE
State: relaxed

```
La3PmPt8
1.0
5.3052 0.0000 1.6015
2.4109 4.7257 1.6015
-0.0058 -0.0036 9.6072
Pt La Pm
8 3 1
direct
0.6875 0.6875 0.9374
0.1876 0.1876 0.4372
0.9376 0.9376 0.6858
0.9376 0.4389 0.6858
0.4389 0.9376 0.6858
0.4371 0.4371 0.1892
0.9365 0.4371 0.1892
0.4371 0.9365 0.1892
0.9997 0.9997 0.0010
0.3749 0.3749 0.8753
0.5004 0.5004 0.4987
0.8749 0.8749 0.3752
```

Computed properties:
Energy relative to the elements = -1.0919 eV/atom
Total moment = 0.00 μB/f.u.
Symmetry = No. 160



[6]
Material: LaPmPt
Method: DFT, GGA-PBE
State: relaxed

```
LaPmPt
1.0
-2.0204 4.6262 -0.2012
-4.0856 0.8505 -2.8476
-4.4618 0.9053 2.1903
La Pm Pt
1 1 1
direct
0.0000 0.0000 0.0000
0.5000 0.5000 0.5000
0.2500 0.2500 0.2500
```

Computed properties:
Energy relative to the elements = -0.7180 eV/atom
Total moment = 0.00 μB/f.u.
Symmetry = No. 216
Offset from the most stable computed form = 110 meV per atom



[7]
Material: La3PmPt2
Method: DFT, GGA-PBE
State: relaxed

```
La3PmPt2
1.0
7.0730 0.0000 0.0000
-3.5365 6.3761 -1.9881
0.0000 -0.0103 8.0022
Pt La Pm
4 6 2
direct
0.6220 0.2461 0.0616
0.3780 0.7539 0.9384
0.6241 0.2461 0.5616
0.3759 0.7539 0.4384
0.2153 0.4318 0.1079
0.2541 0.0000 0.7500
0.7835 0.5682 0.3921
0.7459 0.0000 0.2500
0.7847 0.5682 0.8921
0.2165 0.4318 0.6079
0.7404 0.0000 0.7500
0.2596 0.0000 0.2500
```

Computed properties:
Energy relative to the elements = -0.7846 eV/atom
Total moment = 0.64 μB/f.u.
Symmetry = No. 15



[8]
Material: LaPm2Pt
Method: DFT, GGA-PBE
State: relaxed

```
LaPm2Pt
1.0
-1.6985 0.2595 -3.5339
-4.1922 -2.7972 3.9930
-3.6983 9.0261 2.4402
Pm Pt La
4 2 2
direct
0.1396 0.2793 0.0634
0.1396 0.2793 0.4366
0.8604 0.7207 0.9366
0.8604 0.7207 0.5634
0.7334 0.4674 0.2500
0.2666 0.5326 0.7500
0.4218 0.8445 0.2500
0.5782 0.1555 0.7500
```

Computed properties:
Energy relative to the elements = -0.6132 eV/atom
Total moment = 0.00 μB/f.u.
Symmetry = No. 11
Offset from the most stable computed form = 32 meV per atom



Q: What is the formula in the fifth record?
A: La3PmPt8



Q: Which formula does entry 7 have?
A: La3PmPt2